# BeAgH3, relaxed, DFT PBEsol
# final energy	-2.9707	eV per atom
# density	5.4	g cm⁻³
data_BeAgH3
_chemical_formula_sum 'Be1 Ag1 H3'
_symmetry_space_group_name_H-M 'P m -3 m'
_symmetry_Int_Tables_number 221
_symmetry_space_group_name_Hall '-P 4 2 3'
_cell_length_a 3.3367
_cell_length_b 3.3367
_cell_length_c 3.3367
_cell_angle_alpha 90.00
_cell_angle_beta 90.00
_cell_angle_gamma 90.00
loop_
_atom_site_label
_atom_site_fract_x
_atom_site_fract_y
_atom_site_fract_z
Be1 0.0000 0.0000 0.0000
Ag1 0.5000 0.5000 0.5000
H1 0.0000 0.0000 0.5000